(1)
A plane-wave DFT calculation with PBE-GGA was carried out for crystalline Zr3HgN at its relaxed geometry.

Computed properties:
Final energy (eV per cell): -76.56
Energy relative to the elements, uncorrected (meV/atom): -802

Cell and atoms, written as POSCAR:
```
Zr3HgN
1.0
5.5324 -0.0072 0.0005
1.5134 5.3214 -0.0002
-0.0030 0.0040 6.3631
N Hg Zr
2 2 6
Cartesian
6.0266 4.2661 4.3857
2.5037 1.6090 4.3856
0.7437 0.2786 1.2035
4.2663 2.9354 1.2040
1.4989 2.9414 5.9264
4.2651 2.9376 4.3855
0.7422 0.2805 4.3853
3.5082 0.2766 2.8446
3.5084 0.2770 5.9267
1.4987 2.9410 2.8443
```

---

(2)
A plane-wave DFT calculation with PBE-GGA was carried out for crystalline Ba2PmPt9 at its relaxed geometry.

Computed properties:
Final energy (eV per cell): -71.13

Cell and atoms, written as POSCAR:
```
Ba2PmPt9
1.0
5.5325 0.0000 0.0000
2.7662 4.7913 0.0000
2.7662 1.5971 9.2072
Ba Pt Pm
2 9 1
Cartesian
2.7662 1.5971 5.2961
8.2987 4.7913 3.9111
6.9171 2.3948 2.2079
8.2987 4.7913 9.1837
5.5325 4.7930 2.2079
2.7662 1.5971 0.0235
6.9171 3.9936 6.9993
5.5325 3.1942 4.6036
4.1479 2.3948 2.2079
5.5325 1.5954 6.9993
4.1479 3.9936 6.9993
0.0000 0.0000 0.0000
```

---

(3)
A plane-wave DFT calculation with PBE-GGA was carried out for crystalline Zn2ReSe at its relaxed geometry.

Computed properties:
Final energy (eV per cell): -16.52
Relative energy among the computed polymorphs (eV per atom): 0.298
Energy relative to the elements, uncorrected (meV/atom): 491

Cell and atoms, written as POSCAR:
```
Zn2ReSe
1.0
5.1795 -0.0025 0.0022
2.4552 4.5607 -0.0022
-3.5276 -2.7644 2.5965
Re Zn Se
1 2 1
Cartesian
1.3725 2.0377 1.2972
0.0027 0.0016 0.0000
3.8147 2.2775 0.0000
2.7346 -0.2439 1.2993
```

---

(4)
A plane-wave DFT calculation with PBE-GGA was carried out for crystalline H2SI at its relaxed geometry.

Computed properties:
Final energy (eV per cell): -7.26
Relative energy among the computed polymorphs (eV per atom): 1.349

Cell and atoms, written as POSCAR:
```
H2SI
1.0
0.0000 2.9344 2.9344
2.9344 0.0000 2.9344
2.9344 2.9344 0.0000
I H S
1 2 1
Cartesian
2.9344 2.9344 2.9344
4.4015 4.4015 4.4015
1.4672 1.4672 1.4672
0.0000 0.0000 0.0000
```

---

(5)
A plane-wave DFT calculation with PBE-GGA was carried out for crystalline BaSnSeF2 at its relaxed geometry.

Computed properties:
Final energy (eV per cell): -48.54
Energy relative to the elements, uncorrected (meV/atom): -2223

Cell and atoms, written as POSCAR:
```
BaSnSeF2
1.0
6.5490 0.0000 0.0000
0.0000 6.5490 0.0000
-3.2745 -3.2745 6.1921
Se F Sn Ba
2 4 2 2
Cartesian
0.0000 0.0000 2.9222
3.2745 3.2745 2.9222
2.0458 1.2287 5.8416
1.2287 -2.0458 5.8416
-1.2287 2.0458 5.8416
-2.0458 -1.2287 5.8416
0.0000 0.0000 0.1292
3.2745 3.2745 0.1292
0.0000 3.2745 3.8445
3.2745 0.0000 3.8445
```

---

(6)
A plane-wave DFT calculation with PBE-GGA was carried out for crystalline Pa3Ni4P4 at its relaxed geometry.

Computed properties:
Final energy (eV per cell): -84.32

Cell and atoms, written as POSCAR:
```
Pa3Ni4P4
1.0
-2.1288 1.0908 -2.9865
2.3161 -1.9613 -2.3673
-6.8664 -9.1594 4.0000
Pa P Ni
3 4 4
Cartesian
-3.6097 -7.7350 -0.2522
-3.0694 -2.2950 -1.1015
0.0000 0.0000 0.0000
-5.1735 -5.2757 -0.6905
-6.0403 -8.5571 1.1800
-0.6388 -1.4728 -2.5338
-1.5056 -4.7542 -0.6633
-3.2925 -5.2322 -2.0154
-0.2262 -2.9416 -0.9133
-3.3866 -4.7977 0.6616
-6.4530 -7.0883 -0.4405
```

---

(7)
A plane-wave DFT calculation with PBE-GGA was carried out for crystalline CdTe2Se at its relaxed geometry.

Computed properties:
Final energy (eV per cell): -10.34
Energy relative to the elements, uncorrected (meV/atom): 86

Cell and atoms, written as POSCAR:
```
CdTe2Se
1.0
-5.4648 -4.6686 5.1388
-1.5254 -5.1431 7.0206
-3.9003 -1.5280 7.7795
Te Cd Se
2 1 1
Cartesian
-1.1358 -1.1826 2.0794
-9.7548 -10.1571 17.8595
-5.4453 -5.6699 9.9694
0.0000 0.0000 0.0000
```

---

(8)
A plane-wave DFT calculation with PBE-GGA was carried out for crystalline NaScGe2 at its relaxed geometry.

Computed properties:
Final energy (eV per cell): -18.29
Relative energy among the computed polymorphs (eV per atom): 0.000

Cell and atoms, written as POSCAR:
```
NaScGe2
1.0
3.6338 0.0000 0.0000
0.0000 3.6338 0.0000
0.0000 0.0000 6.7756
Na Ge Sc
1 2 1
Cartesian
1.8169 1.8169 3.3878
0.0000 0.0000 5.4994
0.0000 0.0000 1.2762
1.8169 1.8169 0.0000
```

---

(9)
A plane-wave DFT calculation with PBE-GGA was carried out for crystalline PaMnNb2C4 at its relaxed geometry.

Computed properties:
Final energy (eV per cell): -157.25

Cell and atoms, written as POSCAR:
```
PaMnNb2C4
1.0
-0.4756 0.4554 -3.1873
1.5753 -5.5059 0.6399
-10.3276 -2.8227 1.1379
Mn Nb C Pa
2 4 8 2
Cartesian
-7.0733 -5.4812 -1.3893
-2.1546 -2.3919 -0.0202
-4.5948 -2.4252 -1.3225
-8.8763 -6.6077 0.3805
-4.6331 -5.4480 -0.0870
-0.3516 -1.2655 -1.7900
-6.5903 -6.6766 0.0295
-8.6882 -4.7032 -1.0372
-3.1915 -3.8947 -0.0802
0.0000 0.0000 0.0000
-0.5398 -3.1700 -0.3724
-6.0365 -3.9784 -1.3293
-5.1638 -1.4113 0.5689
-2.6376 -1.1965 -1.4390
-7.4786 -3.1713 0.6629
-1.7494 -4.7018 -2.0724
```

---

(10)
A plane-wave DFT calculation with PBE-GGA was carried out for crystalline V2GaBi at its relaxed geometry.

Computed properties:
Final energy (eV per cell): -45.54
Relative energy among the computed polymorphs (eV per atom): 0.165

Cell and atoms, written as POSCAR:
```
V2GaBi
1.0
-1.0127 -0.3776 4.0138
-0.9711 -3.9937 -0.6208
7.7679 -4.6237 3.6773
Bi Ga V
2 2 4
Cartesian
2.8816 -3.5935 4.6938
0.0000 0.0000 0.0000
-0.9919 -2.1857 1.6965
2.9024 -5.4015 2.3765
1.3212 -1.8413 2.8209
1.0748 -3.7490 1.5625
4.9539 -5.6338 3.9485
4.2181 -6.7659 5.8087
```

---

(11)
A plane-wave DFT calculation with PBE-GGA was carried out for crystalline ReP2Br at its relaxed geometry.

Computed properties:
Final energy (eV per cell): -20.94
Relative energy among the computed polymorphs (eV per atom): 0.971
Energy relative to the elements, uncorrected (meV/atom): 1001

Cell and atoms, written as POSCAR:
```
ReP2Br
1.0
4.4367 0.0000 0.0000
2.2184 3.8423 0.0000
2.2184 1.2808 3.6226
Re P Br
1 2 1
Cartesian
2.2184 1.2808 0.9056
0.0000 0.0000 0.0000
6.6551 3.8423 2.7169
4.4367 2.5615 1.8113
```

---

(12)
A plane-wave DFT calculation with PBE-GGA was carried out for crystalline NaCu2I2 at its relaxed geometry.

Computed properties:
Final energy (eV per cell): -12.82
Energy relative to the elements, uncorrected (meV/atom): -42

Cell and atoms, written as POSCAR:
```
NaCu2I2
1.0
-2.1984 -4.8789 -1.4589
-1.4140 -0.9417 5.2800
-4.0839 2.0575 -0.7267
I Na Cu
2 1 2
Cartesian
-0.7070 -0.4709 2.6400
-1.0992 -2.4394 -0.7294
-3.8481 -1.8816 1.5472
-2.0420 1.0287 -0.3634
0.0000 0.0000 0.0000
```

---

(13)
A plane-wave DFT calculation with PBE-GGA was carried out for crystalline LiGe2S4 at its relaxed geometry.

Computed properties:
Final energy (eV per cell): -61.07
Energy relative to the elements, uncorrected (meV/atom): -411

Cell and atoms, written as POSCAR:
```
LiGe2S4
1.0
5.8907 0.0731 0.0000
-2.8222 5.1712 0.0000
0.0000 0.0000 10.1151
S Li Ge
8 2 4
Cartesian
1.5243 1.1175 0.0000
1.5443 4.1268 0.0000
2.8410 3.3680 5.0575
2.9454 0.0365 3.3145
0.2275 1.8763 5.0575
-1.4111 2.5856 8.3721
-1.4111 2.5856 1.7430
2.9454 0.0365 6.8006
1.5343 2.6221 7.5863
1.5343 2.6221 2.5288
-0.7815 3.9806 0.0000
3.8531 1.2689 5.0575
-0.7845 3.9754 5.0575
3.8500 1.2637 0.0000
```

---

(14)
A plane-wave DFT calculation with PBE-GGA was carried out for crystalline MnTl2IBr6 at its relaxed geometry.

Computed properties:
Final energy (eV per cell): -62.95
Energy relative to the elements, uncorrected (meV/atom): -599

Cell and atoms, written as POSCAR:
```
MnTl2IBr6
1.0
7.5116 0.0000 -0.7934
0.0000 7.7430 0.0000
-1.6330 0.0000 12.8045
Br I Tl Mn
12 2 4 2
Cartesian
5.2006 2.5412 4.2276
5.4012 2.4206 0.2007
2.5254 0.6788 1.6042
5.0497 6.2921 5.0114
3.3532 7.0641 10.4069
0.6283 1.3303 11.0265
0.4139 4.5503 4.4013
0.8289 1.4509 6.9996
5.4647 3.1927 7.6097
5.2503 6.4127 0.9845
0.6780 5.2018 7.7834
0.4774 5.3224 11.8104
0.0000 3.8715 0.0000
2.9393 0.0000 6.0055
-0.2552 0.2193 3.8613
3.1946 4.0908 2.1442
6.1339 7.5237 8.1497
2.6841 3.6522 9.8669
-0.8165 3.8715 6.4022
3.7558 0.0000 -0.3967
```

---

(15)
A plane-wave DFT calculation with PBE-GGA was carried out for crystalline RbAgPb2Br6 at its relaxed geometry.

Computed properties:
Final energy (eV per cell): -30.74
Energy relative to the elements, uncorrected (meV/atom): -947

Cell and atoms, written as POSCAR:
```
RbAgPb2Br6
1.0
7.8414 0.0145 0.0167
3.9332 6.7819 0.0125
3.9393 2.2699 6.9775
Br Rb Pb Ag
6 1 2 1
Cartesian
10.5412 4.5534 1.6531
5.6662 4.1391 5.2414
9.2829 2.8413 5.2785
8.6128 6.6296 5.2376
6.4909 6.8192 1.6425
6.5437 2.2116 1.6392
11.7796 6.8051 4.1822
7.8574 4.5338 3.1140
3.9404 2.2704 6.8108
3.9295 2.2624 0.3302
```

---

(16)
A plane-wave DFT calculation with PBE-GGA was carried out for crystalline Li6MgCd3 at its relaxed geometry.

Computed properties:
Final energy (eV per cell): -35.23
Relative energy among the computed polymorphs (eV per atom): 0.000

Cell and atoms, written as POSCAR:
```
Li6MgCd3
1.0
4.8397 0.0000 0.0000
0.0000 7.5573 -2.5108
0.0000 0.1164 10.1795
Li Cd Mg
12 6 2
Cartesian
3.6298 2.7480 2.1628
1.2099 0.5056 9.0801
3.6298 6.5083 5.9942
3.6298 5.5989 3.2176
1.2099 2.0748 4.4511
3.6298 7.1682 -1.4114
1.2099 4.9258 5.5059
3.6298 4.2422 7.7924
3.6298 1.2831 6.8536
1.2099 3.4316 -0.1237
1.2099 6.3906 0.8151
1.2099 1.1654 1.6746
1.2099 4.2377 2.6586
3.6298 4.9660 0.3645
3.6298 1.8830 -0.5702
1.2099 5.7907 8.2389
3.6298 3.4360 5.0101
1.2099 2.7077 7.3042
3.6298 0.4022 4.0067
1.2099 7.2715 3.6621
```

---

(17)
A plane-wave DFT calculation with PBE-GGA was carried out for crystalline LiAcCdRu at its relaxed geometry.

Computed properties:
Final energy (eV per cell): -16.08

Cell and atoms, written as POSCAR:
```
LiAcCdRu
1.0
4.9900 0.0000 0.0000
2.4950 4.3214 0.0000
2.4950 1.4405 4.0743
Ru Cd Li Ac
1 1 1 1
Cartesian
4.9900 2.8810 2.0371
7.4849 4.3214 3.0557
0.0000 0.0000 0.0000
2.4950 1.4405 1.0186
```

---

(18)
A plane-wave DFT calculation with PBE-GGA was carried out for crystalline Ge2SbPt at its relaxed geometry.

Computed properties:
Final energy (eV per cell): -19.57
Energy relative to the elements, uncorrected (meV/atom): -42

Cell and atoms, written as POSCAR:
```
Ge2SbPt
1.0
-0.6229 1.9233 -2.9155
0.2599 -1.5008 -3.2042
-8.4838 -2.0444 -1.6948
Ge Pt Sb
2 1 1
Cartesian
-5.7413 -1.3277 -1.8080
-3.1054 -0.2941 -6.0066
-4.4234 -0.8109 -3.9073
0.0000 0.0000 0.0000
```

---

(19)
A plane-wave DFT calculation with PBE-GGA was carried out for crystalline Zr8Sc6Pa at its relaxed geometry.

Computed properties:
Final energy (eV per cell): -112.61

Cell and atoms, written as POSCAR:
```
Zr8Sc6Pa
1.0
6.3394 0.0000 0.0000
0.0000 7.0594 -4.0757
0.0000 0.0000 8.1514
Sc Zr Pa
6 8 1
Cartesian
4.1245 2.9851 1.0529
2.2149 0.5807 3.1117
4.1245 6.4787 0.9640
2.2149 4.0742 3.0228
4.1245 4.6549 -2.0170
2.2149 2.4044 6.0927
0.9708 6.8601 1.8908
0.9708 1.9918 0.9199
5.3686 1.7926 6.8864
5.8739 2.3531 4.0757
5.3686 0.1993 2.1849
0.9708 5.2668 -2.8107
0.4654 4.7062 0.0000
5.3686 5.0675 3.1558
3.1697 0.0000 0.0000
```

---

(20)
A plane-wave DFT calculation with PBE-GGA was carried out for crystalline TbOs3 at its relaxed geometry.

Computed properties:
Final energy (eV per cell): -73.02

Cell and atoms, written as POSCAR:
```
TbOs3
1.0
-3.6585 3.6741 -2.7031
1.4105 -5.0916 -2.5053
-3.5619 -2.0127 2.0850
Os Tb
6 2
Cartesian
-2.2091 -2.2757 -3.4424
-0.2775 -4.2156 -2.0152
-1.0222 -1.5273 -0.6924
-5.5323 0.7854 -1.1082
-3.6007 -1.1545 0.3190
-4.7876 -1.9029 -2.4310
-2.9505 -3.6792 -1.0075
-2.8593 0.2490 -2.1159
```